No. 1
The following is a DFT calculation (PBE-GGA) of TbCe2Sm6Er3 after structural relaxation.

Values from the calculation:
DFT formation energy ... 0.05 eV per atom
Total DFT energy (no corrections) ... -0.354 Ry per atom
Symmetry ... C2/m, No. 12
Crystal system ... monoclinic

Lattice parameters (Å, degrees): 6.1933 6.1933 11.8326 95.02 95.02 120.02
Last column: magnetic moment on the atom in μB.
Element x y z (fractional)
Sm (0.7484, 0.7484, 0.2505)  -0.01
Sm (0.2516, 0.2516, 0.7495)  -0.01
Sm (0.0840, 0.4196, 0.2503)  -0.01
Sm (0.9160, 0.5804, 0.7497)  -0.01
Sm (0.5804, 0.9160, 0.7497)  -0.01
Sm (0.4196, 0.0840, 0.2503)  -0.01
Tb (0.0000, 0.0000, 0.0000)  -0.06
Ce (0.6666, 0.3334, 0.0000)  -0.78
Ce (0.3334, 0.6666, 0.0000)  -0.78
Er (0.8336, 0.1664, 0.5000)  0.01
Er (0.5000, 0.5000, 0.5000)  0.01
Er (0.1664, 0.8336, 0.5000)  0.01



No. 2
The following is a DFT calculation (PBE-GGA) of Ta2FeTe after structural relaxation.

Values from the calculation:
Total DFT energy (no corrections) ... -0.630 Ry per atom
Symmetry ... I4/mmm, No. 139
ΔE_f (raw) ... 0.25 eV/atom
Crystal system ... tetragonal

Lattice parameters (Å, degrees): 5.1620 5.1620 5.1620 134.80 134.80 65.84
Last column: magnetic moment on the atom in μB.
Element x y z (fractional)
Ta (0.0000, 0.0000, 0.0000)  -0.10
Ta (0.5000, 0.5000, 0.0000)  -0.10
Fe (0.7500, 0.2500, 0.5000)  1.68
Te (0.2500, 0.7500, 0.5000)  -0.01



Question: Which of these has the highest total DFT energy (no corrections)?
Answer: TbCe2Sm6Er3



Question: What is the formula in the first record?
Answer: TbCe2Sm6Er3